Record 1
Here is an optimized crystal structure of Tl5In2SnPb from Alexandria. Energies are from PBE.

Summary:
N(E_F) = 10.20 states/eV per cell
Energy of formation from the pure elements = 0.81 eV per formula unit
SG = I4/mcm, No. 140

a = 7.6496 Å, b = 7.6496 Å, c = 11.1150 Å
α = 110.13°, β = 110.13°, γ = 90.00°
Last column: nearest neighbours and their distance in Å.
Atoms (fractional coordinates):
Tl: 0.9133 0.4133 0.2865  1 In 3.15, 1 Sn 3.24, 2 Pb 3.41
Tl: 0.6269 0.1269 0.7135  1 In 3.15, 1 Sn 3.24, 2 Pb 3.41
Tl: 0.0867 0.5867 0.7135  1 In 3.15, 1 Sn 3.24, 2 Pb 3.41
Tl: 0.1269 0.0867 0.7135  1 In 3.15, 1 Sn 3.24, 2 Pb 3.41
Tl: 0.5867 0.6269 0.7135  1 In 3.15, 1 Sn 3.24, 2 Pb 3.41
Tl: 0.8731 0.9133 0.2865  1 In 3.15, 1 Sn 3.24, 2 Pb 3.41
Tl: 0.4133 0.3731 0.2865  1 In 3.15, 1 Sn 3.24, 2 Pb 3.41
Tl: 0.3731 0.8731 0.2865  1 In 3.15, 1 Sn 3.24, 2 Pb 3.41
Tl: 0.5000 0.5000 0.0000  4 In 2.98
Tl: 0.0000 0.0000 0.0000  4 In 2.98
In: 0.1333 0.3667 0.0000  1 In 2.88, 4 Tl 2.98-3.15
In: 0.6333 0.1333 0.0000  1 In 2.88, 4 Tl 2.98-3.15
In: 0.3667 0.8667 0.0000  1 In 2.88, 4 Tl 2.98-3.15
In: 0.8667 0.6333 0.0000  1 In 2.88, 4 Tl 2.98-3.15
Sn: 0.2500 0.7500 0.5000  8 Tl 3.24-3.58
Sn: 0.7500 0.2500 0.5000  8 Tl 3.24-3.58
Pb: 0.2500 0.2500 0.5000  8 Tl 3.41
Pb: 0.7500 0.7500 0.5000  8 Tl 3.41

---

Record 2
Here is an optimized crystal structure of Sm2DyY2 from Alexandria. Energies are from PBE.

Summary:
N(E_F) = 18.51 states/eV per cell
Energy of formation from the pure elements = 0.07 eV per formula unit
SG = C2/c, No. 15
Excess energy over the best structure of this formula in the dataset = 0.000 eV/atom

a = 6.3320 Å, b = 8.5359 Å, c = 9.6749 Å
α = 43.25°, β = 70.90°, γ = 68.23°
Last column: nearest neighbours and their distance in Å.
Atoms (fractional coordinates):
Sm: 0.7831 0.7508 0.8512  2 Dy 3.54-3.64, 5 Sm 3.56-3.67, 5 Y 3.56-3.68
Sm: 0.3852 0.7492 0.6488  2 Dy 3.54-3.64, 5 Sm 3.56-3.67, 5 Y 3.56-3.68
Sm: 0.2169 0.2492 0.1488  2 Dy 3.54-3.64, 5 Sm 3.56-3.67, 5 Y 3.56-3.68
Sm: 0.6148 0.2508 0.3512  2 Dy 3.54-3.64, 5 Sm 3.56-3.67, 5 Y 3.56-3.68
Dy: 0.5818 0.7500 0.2500  4 Sm 3.54-3.64, 6 Y 3.54-3.67, 2 Dy 3.55
Dy: 0.4182 0.2500 0.7500  4 Sm 3.54-3.64, 6 Y 3.54-3.67, 2 Dy 3.55
Y: 0.8171 0.2463 0.9518  4 Y 3.52-3.65, 3 Dy 3.54-3.67, 5 Sm 3.56-3.68
Y: 0.0152 0.2537 0.5482  4 Y 3.52-3.65, 3 Dy 3.54-3.67, 5 Sm 3.56-3.68
Y: 0.1829 0.7537 0.0482  4 Y 3.52-3.65, 3 Dy 3.54-3.67, 5 Sm 3.56-3.68
Y: 0.9848 0.7463 0.4518  4 Y 3.52-3.65, 3 Dy 3.54-3.67, 5 Sm 3.56-3.68

---

Record 3
Here is an optimized crystal structure of P4W3 from Alexandria. Energies are from PBE.

Summary:
N(E_F) = 5.53 states/eV per cell
Energy of formation from the pure elements = 3.88 eV per formula unit
SG = P6/mmm, No. 191

a = 5.4765 Å, b = 5.4765 Å, c = 4.1602 Å
α = 90.00°, β = 90.00°, γ = 120.00°
Last column: nearest neighbours and their distance in Å.
Atoms (fractional coordinates):
P: 0.0000 0.0000 0.2484  2 P 2.07-2.09
P: 0.0000 0.0000 0.7516  2 P 2.07-2.09
P: 0.6667 0.3333 0.5000  6 W 2.61
P: 0.3333 0.6667 0.5000  6 W 2.61
W: 0.0000 0.5000 0.0000  4 P 2.61, 4 W 2.74
W: 0.5000 0.5000 0.0000  4 P 2.61, 4 W 2.74
W: 0.5000 0.0000 0.0000  4 P 2.61, 4 W 2.74

---

Record 4
Here is an optimized crystal structure of TlPd7Pb2S2 from Alexandria. Energies are from PBE.

Summary:
Formation energy from raw total energies = -0.23 eV per atom
N(E_F) = 6.54 states/eV per cell
SG = C2/m, No. 12

a = 4.0715 Å, b = 4.0715 Å, c = 13.9843 Å
α = 84.76°, β = 84.76°, γ = 89.90°
Last column: nearest neighbours and their distance in Å.
Atoms (fractional coordinates):
Tl: 0.0000 0.0000 0.0000  12 Pd 2.88-2.92
Pd: 0.5000 0.5000 0.0000  4 Tl 2.88, 8 Pd 2.91-2.92
Pd: 0.3964 0.3964 0.4170  1 S 2.42
Pd: 0.6036 0.6036 0.5830  1 S 2.42
Pd: 0.9514 0.4511 0.1502  2 S 2.40-2.41
Pd: 0.4511 0.9514 0.1502  2 S 2.40-2.41
Pd: 0.5489 0.0486 0.8498  2 S 2.40-2.41
Pd: 0.0486 0.5489 0.8498  2 S 2.40-2.41
Pb: 0.8913 0.8913 0.3911  5 Pd 2.83-2.98
Pb: 0.1087 0.1087 0.6089  5 Pd 2.83-2.98
S: 0.5756 0.5756 0.7573  5 Pd 2.40-2.42
S: 0.4244 0.4244 0.2427  5 Pd 2.40-2.42

---

Record 5
Here is an optimized crystal structure of Li9Cu2H4O8 from Alexandria. Energies are from PBE.

Summary:
Raw total energy = -0.1783 hartree per atom
N(E_F) = 27.37 states/eV per cell
SG = Pmn2_1, No. 31

a = 5.4874 Å, b = 7.3750 Å, c = 11.0079 Å
α = 90.00°, β = 90.00°, γ = 90.00°
Last column: nearest neighbours and their distance in Å.
Atoms (fractional coordinates):
Li: 0.8100 0.5000 0.9489  4 O 1.92-2.03
Li: 0.8131 0.0000 0.2856  4 O 2.05-2.30
Li: 0.9588 0.7506 0.1593  4 O 1.92-2.09
Li: 0.9588 0.2494 0.1593  4 O 1.92-2.09
Li: 0.0412 0.2506 0.6593  4 O 1.92-2.09
Li: 0.0412 0.7494 0.6593  4 O 1.92-2.09
Li: 0.1869 0.5000 0.7856  4 O 2.05-2.30
Li: 0.1900 0.0000 0.4489  4 O 1.92-2.03
Li: 0.3252 0.5000 0.5546  4 O 1.91-2.13
Li: 0.2944 0.0000 0.2260  5 O 2.08-2.29
Li: 0.3327 0.0000 0.7177  4 O 2.02-2.22
Li: 0.4445 0.7475 0.3426  4 O 1.93-2.05
Li: 0.4445 0.2525 0.3426  4 O 1.93-2.05
Li: 0.5555 0.2475 0.8426  4 O 1.93-2.05
Li: 0.5555 0.7525 0.8426  4 O 1.93-2.05
Li: 0.6673 0.5000 0.2177  4 O 2.02-2.22
Li: 0.7056 0.5000 0.7260  5 O 2.08-2.29
Li: 0.6748 0.0000 0.0546  4 O 1.91-2.13
Cu: 0.7578 0.0000 0.5230  2 O 1.78-1.79
Cu: 0.2422 0.5000 0.0230  2 O 1.78-1.79
Cu: 0.2255 0.0000 0.9820  2 O 1.77
Cu: 0.7745 0.5000 0.4820  2 O 1.77
H: 0.9725 0.7966 0.8698  1 O 0.98
H: 0.9725 0.2034 0.8698  1 O 0.98
H: 0.0275 0.2966 0.3698  1 O 0.98
H: 0.0275 0.7034 0.3698  1 O 0.98
H: 0.5173 0.7688 0.6126  1 O 0.98
H: 0.5173 0.2312 0.6126  1 O 0.98
H: 0.4827 0.2688 0.1126  1 O 0.98
H: 0.4827 0.7312 0.1126  1 O 0.98
O: 0.9153 0.3106 0.8261  1 H 0.98
O: 0.9153 0.6894 0.8261  1 H 0.98
O: 0.9901 0.5000 0.6011  1 Cu 1.77, 3 Li 1.91-1.97
O: 0.9685 0.5000 0.1116  1 Cu 1.79, 3 Li 1.92-1.99
O: 0.0315 0.0000 0.6116  1 Cu 1.79, 3 Li 1.92-1.99
O: 0.0099 0.0000 0.1011  1 Cu 1.77, 3 Li 1.91-1.97
O: 0.0847 0.1894 0.3261  1 H 0.98
O: 0.0847 0.8106 0.3261  1 H 0.98
O: 0.4180 0.7118 0.6762  1 H 0.98
O: 0.4180 0.2882 0.6762  1 H 0.98
O: 0.4699 0.5000 0.9078  1 Cu 1.78, 1 Li 1.92
O: 0.5145 0.5000 0.3860  1 Cu 1.77, 2 Li 1.93
O: 0.4855 0.0000 0.8860  1 Cu 1.77, 2 Li 1.93
O: 0.5301 0.0000 0.4078  1 Cu 1.78, 1 Li 1.92
O: 0.5820 0.7882 0.1762  1 H 0.98
O: 0.5820 0.2118 0.1762  1 H 0.98

---

Record 6
Here is an optimized crystal structure of NaHgPCl2 from Alexandria. Energies are from PBE.

Summary:
Formation energy from raw total energies = 0.13 eV per atom
N(E_F) = 3.50 states/eV per cell
SG = P4/mmm, No. 123
Excess energy over the best structure of this formula in the dataset = 0.325 eV/atom

a = 5.0313 Å, b = 5.0313 Å, c = 5.8571 Å
α = 90.00°, β = 90.00°, γ = 90.00°
Last column: nearest neighbours and their distance in Å.
Atoms (fractional coordinates):
P: 0.0000 0.0000 0.5000  2 Na 2.93
Na: 0.0000 0.0000 0.0000  4 Cl 2.52
Hg: 0.5000 0.5000 0.5000  4 P 3.56, 8 Cl 3.86
Cl: 0.0000 0.5000 0.0000  2 Na 2.52
Cl: 0.5000 0.0000 0.0000  2 Na 2.52

---

Record 7
Here is an optimized crystal structure of Er2ZnCu12Ni3 from Alexandria. Energies are from PBE.

Summary:
N(E_F) = 7.88 states/eV per cell
Energy of formation from the pure elements = -0.08 eV per formula unit
SG = R-3m, No. 166

a = 6.3445 Å, b = 6.3445 Å, c = 6.3445 Å
α = 83.08°, β = 83.08°, γ = 83.08°
Last column: nearest neighbours and their distance in Å.
Atoms (fractional coordinates):
Er: 0.7453 0.7453 0.7453  3 Ni 2.66, 6 Cu 2.78-2.91
Er: 0.2547 0.2547 0.2547  3 Ni 2.66, 6 Cu 2.78-2.91
Zn: 0.0000 0.0000 0.0000  6 Cu 2.38
Cu: 0.4228 0.4228 0.8531  6 Cu 2.41-2.65
Cu: 0.8005 0.8005 0.2811  1 Zn 2.38, 5 Cu 2.41-2.53, 1 Ni 2.52
Cu: 0.2811 0.8005 0.8005  1 Zn 2.38, 5 Cu 2.41-2.53, 1 Ni 2.52
Cu: 0.8531 0.4228 0.4228  6 Cu 2.41-2.65
Cu: 0.8005 0.2811 0.8005  1 Zn 2.38, 5 Cu 2.41-2.53, 1 Ni 2.52
Cu: 0.4228 0.8531 0.4228  6 Cu 2.41-2.65
Cu: 0.5772 0.5772 0.1469  6 Cu 2.41-2.65
Cu: 0.1995 0.1995 0.7189  1 Zn 2.38, 5 Cu 2.41-2.53, 1 Ni 2.52
Cu: 0.7189 0.1995 0.1995  1 Zn 2.38, 5 Cu 2.41-2.53, 1 Ni 2.52
Cu: 0.1469 0.5772 0.5772  6 Cu 2.41-2.65
Cu: 0.1995 0.7189 0.1995  1 Zn 2.38, 5 Cu 2.41-2.53, 1 Ni 2.52
Cu: 0.5772 0.1469 0.5772  6 Cu 2.41-2.65
Ni: 0.5000 0.0000 0.0000  6 Cu 2.52-2.74, 2 Er 2.66
Ni: 0.0000 0.5000 0.0000  6 Cu 2.52-2.74, 2 Er 2.66
Ni: 0.0000 0.0000 0.5000  6 Cu 2.52-2.74, 2 Er 2.66

---

Record 8
Here is an optimized crystal structure of K4Tb3RuO8 from Alexandria. Energies are from PBE.

Summary:
Formation energy from raw total energies = -2.25 eV per atom
N(E_F) = 8.43 states/eV per cell
SG = R-3m, No. 166

a = 6.8247 Å, b = 7.3691 Å, c = 6.8243 Å
α = 117.58°, β = 120.00°, γ = 90.00°
Last column: nearest neighbours and their distance in Å.
Atoms (fractional coordinates):
K: 0.5000 0.0000 0.0000  6 O 2.83
K: 0.5000 0.0000 0.5000  6 O 2.75-2.77
K: 0.0000 0.0000 0.0000  6 O 2.75-2.77
K: 0.0000 0.0000 0.5000  6 O 2.75-2.77
Tb: 0.5000 0.5000 0.0000  6 O 2.29-2.32
Tb: 0.5000 0.5000 0.5000  6 O 2.29-2.32
Tb: 0.0000 0.5000 0.5000  6 O 2.29-2.32
Ru: 0.0000 0.5000 0.0000  6 O 2.22
O: 0.2222 0.6866 0.9643  1 Ru 2.22, 2 Tb 2.32
O: 0.2222 0.6865 0.4443  1 Ru 2.22, 2 Tb 2.32
O: 0.2707 0.3120 0.5413  3 Tb 2.29
O: 0.7421 0.6866 0.9643  1 Ru 2.22, 2 Tb 2.32
O: 0.2579 0.3134 0.0357  1 Ru 2.22, 2 Tb 2.32
O: 0.7293 0.6880 0.4587  3 Tb 2.29
O: 0.7778 0.3135 0.5557  1 Ru 2.22, 2 Tb 2.32
O: 0.7778 0.3134 0.0357  1 Ru 2.22, 2 Tb 2.32

---

Record 9
Here is an optimized crystal structure of Tb7Pr3Er from Alexandria. Energies are from PBE.

Summary:
N(E_F) = 16.68 states/eV per cell
Energy of formation from the pure elements = 1.86 eV per formula unit
SG = P3m1, No. 156
Excess energy over the best structure of this formula in the dataset = 0.030 eV/atom

a = 8.7407 Å, b = 7.1128 Å, c = 7.1128 Å
α = 120.00°, β = 90.00°, γ = 90.00°
Last column: nearest neighbours and their distance in Å.
Atoms (fractional coordinates):
Tb: 0.1214 0.1675 0.8325  1 Er 3.47, 8 Tb 3.50-3.57, 2 Pr 3.60
Tb: 0.1214 0.1675 0.3350  1 Er 3.47, 8 Tb 3.50-3.57, 2 Pr 3.60
Tb: 0.1232 0.6667 0.3333  9 Tb 3.48-3.56, 3 Pr 3.62
Tb: 0.4454 0.8326 0.1674  7 Tb 3.48-3.57, 2 Er 3.56, 2 Pr 3.59
Tb: 0.4454 0.3349 0.1674  7 Tb 3.48-3.57, 2 Er 3.56, 2 Pr 3.59
Tb: 0.4454 0.8326 0.6651  7 Tb 3.48-3.57, 2 Er 3.56, 2 Pr 3.59
Tb: 0.1214 0.6650 0.8325  1 Er 3.47, 8 Tb 3.50-3.57, 2 Pr 3.60
Pr: 0.7828 0.4999 0.5001  4 Pr 3.55-3.56, 5 Tb 3.59-3.62, 1 Er 3.61
Pr: 0.7828 0.4999 0.9998  4 Pr 3.55-3.56, 5 Tb 3.59-3.62, 1 Er 3.61
Pr: 0.7828 0.0002 0.5001  4 Pr 3.55-3.56, 5 Tb 3.59-3.62, 1 Er 3.61
Er: 0.4429 0.3333 0.6667  9 Tb 3.47-3.56, 3 Pr 3.61

---

Record 10
Here is an optimized crystal structure of KIr2PdS from Alexandria. Energies are from PBE.

Summary:
Formation energy from raw total energies = 2.79 eV per atom
N(E_F) = 5.26 states/eV per cell
SG = P4/mmm, No. 123

a = 4.7737 Å, b = 5.1406 Å, c = 4.7737 Å
α = 90.00°, β = 90.00°, γ = 90.00°
Last column: nearest neighbours and their distance in Å.
Atoms (fractional coordinates):
K: 0.0000 0.0000 0.0000  4 Ir 2.39, 2 S 2.57
Ir: 0.0000 0.0000 0.5000  2 K 2.39
Ir: 0.5000 0.0000 0.0000  2 K 2.39
S: 0.0000 0.5000 0.0000  2 K 2.57
Pd: 0.5000 0.5000 0.5000  4 S 3.38, 8 Ir 3.51

---

Record 11
Here is an optimized crystal structure of La3TmHg4 from Alexandria. Energies are from PBE.

Summary:
N(E_F) = 9.22 states/eV per cell
Energy of formation from the pure elements = -3.89 eV per formula unit
SG = P4/mmm, No. 123

a = 3.7926 Å, b = 3.7926 Å, c = 15.8633 Å
α = 90.00°, β = 90.00°, γ = 90.00°
Last column: nearest neighbours and their distance in Å.
Atoms (fractional coordinates):
Tm: 0.5000 0.5000 0.0000  8 Hg 3.17
Hg: 0.0000 0.0000 0.8930  4 Tm 3.17, 1 Hg 3.39, 4 La 3.43
Hg: 0.0000 0.0000 0.1070  4 Tm 3.17, 1 Hg 3.39, 4 La 3.43
Hg: 0.0000 0.0000 0.3720  8 La 3.36-3.39
Hg: 0.0000 0.0000 0.6280  8 La 3.36-3.39
La: 0.5000 0.5000 0.2413  8 Hg 3.39-3.43, 4 La 3.79
La: 0.5000 0.5000 0.5000  8 Hg 3.36
La: 0.5000 0.5000 0.7587  8 Hg 3.39-3.43, 4 La 3.79

---

Record 12
Here is an optimized crystal structure of K2NbSnO6 from Alexandria. Energies are from PBE.

Summary:
Formation energy from raw total energies = -1.90 eV per atom
N(E_F) = 5.69 states/eV per cell
SG = Fm-3m, No. 225

a = 5.8021 Å, b = 5.8021 Å, c = 5.8016 Å
α = 60.00°, β = 60.00°, γ = 90.00°
Last column: nearest neighbours and their distance in Å.
Atoms (fractional coordinates):
K: 0.2500 0.7499 0.5001  12 O 2.90
K: 0.7500 0.2501 0.4999  12 O 2.90
Nb: 0.0000 0.0000 0.0000  6 O 2.01
Sn: 0.5000 0.5000 0.0000  6 O 2.09
O: 0.2455 0.7546 0.9999  1 Nb 2.01, 1 Sn 2.09
O: 0.7545 0.7546 0.0000  1 Nb 2.01, 1 Sn 2.09
O: 0.2454 0.2454 0.5091  1 Nb 2.01, 1 Sn 2.09
O: 0.7545 0.2454 0.0001  1 Nb 2.01, 1 Sn 2.09
O: 0.2455 0.2454 0.0000  1 Nb 2.01, 1 Sn 2.09
O: 0.7546 0.7546 0.4909  1 Nb 2.01, 1 Sn 2.09

---

Record 13
Here is an optimized crystal structure of SnBiN2F from Alexandria. Energies are from PBE.

Summary:
Formation energy from raw total energies = 0.48 eV per atom
N(E_F) = 0.78 states/eV per cell
SG = P4/mmm, No. 123
Excess energy over the best structure of this formula in the dataset = 0.338 eV/atom

a = 4.3867 Å, b = 4.3867 Å, c = 4.4467 Å
α = 90.00°, β = 90.00°, γ = 90.00°
Last column: nearest neighbours and their distance in Å.
Atoms (fractional coordinates):
N: 0.0000 0.5000 0.0000  2 Bi 2.19
N: 0.5000 0.0000 0.0000  2 Bi 2.19
F: 0.0000 0.0000 0.5000  2 Bi 2.22
Bi: 0.0000 0.0000 0.0000  4 N 2.19, 2 F 2.22
Sn: 0.5000 0.5000 0.5000  4 F 3.10, 8 N 3.12